# 1
Below is a relaxed structure of SmPuTh2, with properties calculated at the PBE-GGA level.

Lattice parameters (Å, degrees): 3.5529 3.5529 9.7228 90.00 90.00 90.00
Last column: magnetic moment on the atom in μB.
Sites, in units of the cell vectors:
Sm1 0.5000 0.5000 0.0000  -0.06
Th1 0.0000 0.0000 0.7326  -0.01
Th2 0.0000 0.0000 0.2674  -0.01
Pu1 0.5000 0.5000 0.5000  5.18

Properties
* V: 30.68 A^3/atom
* total magnetization: 5.2 μB per cell
* space group: P4/mmm
* excess energy over the best structure of this formula in the dataset: 0.000 eV/atom
* final energy: -33.44 eV/f.u.

***

# 2
Below is a relaxed structure of SmPuTh, with properties calculated at the PBE-GGA level.

Lattice parameters (Å, degrees): 3.2868 5.7052 5.7052 120.00 90.00 90.00
Last column: magnetic moment on the atom in μB.
Sites, in units of the cell vectors:
Sm1 0.1672 0.0000 0.0000  -0.06
Th1 0.1662 0.3333 0.6667  -0.03
Pu1 0.6666 0.6667 0.3333  5.41

Properties
* V: 30.88 A^3/atom
* total magnetization: 5.6 μB per cell
* space group: P-6m2
* excess energy over the best structure of this formula in the dataset: 0.156 eV/atom
* final energy: -25.63 eV/f.u.